Entry 1:
A plane-wave DFT calculation with PBE-GGA was carried out for a relaxed structure of Ce2LuNb.

a b c (Å): 3.5509 3.5509 8.2766
angles (deg): 90.00 90.00 90.00
Closest atoms and distances in Å follow each position.
Space group P4/mmm (No. 123)
Asymmetric unit:
Ce 0.0000 0.0000 0.2168 x2  4 Nb 3.09, 4 Lu 3.43
Lu 0.5000 0.5000 0.5000 x1  8 Ce 3.43, 4 Lu 3.55
Nb 0.5000 0.5000 0.0000 x1  8 Ce 3.09

Results
distance to the lowest polymorph of the same formula: 0.00 eV per formula unit
energy of formation from the pure elements: 0.940 eV/f.u.
magnetization: 0.00 Bohr magnetons per cell
D(E_F): 9.5 states/eV per cell

=====

Entry 2:
A plane-wave DFT calculation with PBE-GGA was carried out for a relaxed structure of PmInAg4.

a b c (Å): 7.9745 7.9745 7.9745
angles (deg): 90.00 90.00 90.00
Closest atoms and distances in Å follow each position.
Space group F-43m (No. 216)
Asymmetric unit:
Pm 0.0000 0.0000 0.0000 x4  12 Ag 3.31, 4 In 3.45
In 0.2500 0.2500 0.2500 x4  12 Ag 3.31, 4 Pm 3.45
Ag 0.1248 0.1248 0.6248 x16  6 Ag 2.82

Results
energy of formation from the pure elements: -1.404 eV/f.u.
magnetization: 0.00 Bohr magnetons per cell
D(E_F): 7.1 states/eV per cell

=====

Entry 3:
A plane-wave DFT calculation with PBE-GGA was carried out for a relaxed structure of TbSmAlGa.

a b c (Å): 4.1228 4.4550 11.1775
angles (deg): 90.00 90.00 90.00
Closest atoms and distances in Å follow each position.
Space group Amm2 (No. 38)
Asymmetric unit:
Tb 0.0000 0.0000 0.0000 x2  4 Al 3.13, 3 Ga 3.18-3.28
Sm 0.5000 0.0000 0.7187 x2  4 Ga 3.12, 3 Al 3.22-3.25
Al 0.5000 0.0000 0.4302 x2  2 Ga 2.63
Ga 0.0000 0.0000 0.2848 x2  2 Al 2.63

Results
distance to the lowest polymorph of the same formula: 0.00 eV per formula unit
energy of formation from the pure elements: -1.985 eV/f.u.
magnetization: 0.00 Bohr magnetons per cell
D(E_F): 8.0 states/eV per cell

=====

Entry 4:
A plane-wave DFT calculation with PBE-GGA was carried out for a relaxed structure of LiNi2Pt.

a b c (Å): 5.8073 5.8073 5.8073
angles (deg): 90.00 90.00 90.00
Closest atoms and distances in Å follow each position.
Space group F-43m (No. 216)
Asymmetric unit:
Li 0.0000 0.0000 0.0000 x4  4 Ni 2.51, 4 Pt 2.51
Ni 0.0000 0.0000 0.5000 x4  4 Ni 2.51, 4 Pt 2.51
Ni 0.2500 0.2500 0.7500 x4  4 Li 2.51, 4 Ni 2.51
Pt 0.2500 0.2500 0.2500 x4  4 Li 2.51, 4 Ni 2.51

Results
energy of formation from the pure elements: -0.442 eV/f.u.
magnetization: 5.92 Bohr magnetons per cell
D(E_F): 25.3 states/eV per cell

=====

Entry 5:
A plane-wave DFT calculation with PBE-GGA was carried out for a relaxed structure of Na2As2Pd5.

a b c (Å): 4.4564 4.4564 8.1999
angles (deg): 90.00 90.00 90.00
Closest atoms and distances in Å follow each position.
Space group P4/mmm (No. 123)
Asymmetric unit:
Na 0.0000 0.0000 0.0000 x1  8 Pd 3.22, 8 As 3.41
Na 0.0000 0.0000 0.5000 x1  12 Pd 2.85-3.15
As 0.5000 0.5000 0.1596 x2  4 Pd 2.45, 1 As 2.62
Pd 0.0000 0.5000 0.2828 x4  2 As 2.45
Pd 0.5000 0.5000 0.5000 x1  2 As 2.79, 8 Pd 2.85

Results
energy of formation from the pure elements: -3.159 eV/f.u.
magnetization: 0.00 Bohr magnetons per cell
D(E_F): 4.2 states/eV per cell

=====

Entry 6:
A plane-wave DFT calculation with PBE-GGA was carried out for a relaxed structure of Dy7Cd2Ru2.

a b c (Å): 7.9321 10.9029 7.1727
angles (deg): 90.00 90.00 90.00
Closest atoms and distances in Å follow each position.
Space group Cmmm (No. 65)
Asymmetric unit:
Dy 0.0000 0.0000 0.0000 x2  2 Ru 3.20
Dy 0.0000 0.5000 0.2402 x4  2 Ru 2.83, 2 Cd 3.17
Dy 0.2500 0.2500 0.2510 x8  2 Ru 2.72
Cd 0.1766 0.0000 0.5000 x4  1 Cd 2.80
Ru 0.0000 0.2938 0.0000 x4  6 Dy 2.72-2.83

Results
distance to the lowest polymorph of the same formula: 0.81 eV per formula unit
energy of formation from the pure elements: -2.196 eV/f.u.
magnetization: 0.00 Bohr magnetons per cell
D(E_F): 18.8 states/eV per cell

=====

Entry 7:
A plane-wave DFT calculation with PBE-GGA was carried out for a relaxed structure of Pm7Ho12In.

a b c (Å): 12.2448 12.2448 15.3620
angles (deg): 90.00 90.00 120.00
Closest atoms and distances in Å follow each position.
Space group R-3 (No. 148, hexagonal axes)
Asymmetric unit:
Pm 0.0000 0.0000 0.0000 x3  6 Pm 3.57, 6 Ho 3.61
Pm 0.0109 0.4341 0.7029 x18  6 Ho 3.29-3.60, 1 Pm 3.57
Ho 0.0323 0.1864 0.8093 x18  6 Ho 3.48-3.83, 5 Pm 3.57-3.78
Ho 0.0704 0.8113 0.4238 x18  1 In 3.07, 3 Pm 3.29-3.43
In 0.0000 0.0000 0.5000 x3  6 Ho 3.07

Results
energy of formation from the pure elements: 3.443 eV/f.u.
magnetization: 0.00 Bohr magnetons per cell
D(E_F): 105.2 states/eV per cell

=====

Entry 8:
A plane-wave DFT calculation with PBE-GGA was carried out for a relaxed structure of ErSi2Au2.

a b c (Å): 4.2560 4.2560 10.2224
angles (deg): 90.00 90.00 90.00
Closest atoms and distances in Å follow each position.
Space group I4/mmm (No. 139)
Asymmetric unit:
Er 0.0000 0.0000 0.0000 x2  8 Si 3.22, 8 Au 3.33
Si 0.0000 0.0000 0.3884 x4  1 Si 2.28
Au 0.0000 0.5000 0.2500 x4  4 Si 2.56

Results
magnetization: 0.00 Bohr magnetons per cell
D(E_F): 2.7 states/eV per cell
formation energy (no corrections): -2.591 eV/f.u.

=====

Entry 9:
A plane-wave DFT calculation with PBE-GGA was carried out for a relaxed structure of ZnCu5Ge.

a b c (Å): 4.9861 7.6617 5.0542
angles (deg): 90.00 90.00 90.00
Closest atoms and distances in Å follow each position.
Space group Cmmm (No. 65)
Asymmetric unit:
Zn 0.0000 0.0000 0.0000 x2  10 Cu 2.53-2.60
Cu 0.0000 0.0000 0.5000 x2  2 Ge 2.49, 2 Zn 2.53, 8 Cu 2.62
Cu 0.2500 0.2500 0.2458 x8  6 Cu 2.48-2.62, 2 Zn 2.60, 2 Ge 2.62
Ge 0.0000 0.5000 0.5000 x2  10 Cu 2.49-2.62

Results
distance to the lowest polymorph of the same formula: 0.37 eV per formula unit
energy of formation from the pure elements: 0.340 eV/f.u.
magnetization: 0.00 Bohr magnetons per cell
D(E_F): 3.9 states/eV per cell

=====

Entry 10:
A plane-wave DFT calculation with PBE-GGA was carried out for a relaxed structure of GaAu.

a b c (Å): 4.8448 3.6069 4.5453
angles (deg): 90.00 112.51 90.00
Closest atoms and distances in Å follow each position.
Space group C2/m (No. 12)
Asymmetric unit:
Ga 0.0000 0.0000 0.0000 x2  6 Au 2.61-2.90
Au 0.0000 0.5000 0.5000 x2  6 Ga 2.61-2.90

Results
energy of formation from the pure elements: -0.271 eV/f.u.
magnetization: 0.00 Bohr magnetons per cell
D(E_F): 0.8 states/eV per cell

=====

Entry 11:
A plane-wave DFT calculation with PBE-GGA was carried out for a relaxed structure of BeRuBr2.

a b c (Å): 15.0999 3.4038 3.4868
angles (deg): 90.00 97.40 90.00
Closest atoms and distances in Å follow each position.
Space group C2/m (No. 12)
Asymmetric unit:
Be 0.0000 0.0000 0.0000 x2  4 Ru 2.44, 4 Br 2.53
Ru 0.0000 0.5000 0.5000 x2  4 Be 2.44, 4 Br 2.55
Br 0.1246 0.5000 0.0695 x4  2 Be 2.53, 2 Ru 2.55

Results
distance to the lowest polymorph of the same formula: 0.13 eV per formula unit
magnetization: 0.00 Bohr magnetons per cell
D(E_F): 2.1 states/eV per cell
formation energy (no corrections): 0.123 eV/f.u.

=====

Entry 12:
A plane-wave DFT calculation with PBE-GGA was carried out for a relaxed structure of AgBi2S4.

a b c (Å): 8.0606 8.0606 11.3913
angles (deg): 90.00 90.00 90.00
Closest atoms and distances in Å follow each position.
Space group I4_1/amd (No. 141, origin choice 2)
Asymmetric unit:
Ag 0.0000 0.2500 0.3750 x4  4 S 2.52
Bi 0.0000 0.0000 0.0000 x8  6 S 2.82
S 0.0000 0.0057 0.7527 x16  1 Ag 2.52, 3 Bi 2.82

Results
distance to the lowest polymorph of the same formula: 0.00 eV per formula unit
magnetization: 0.00 Bohr magnetons per cell
D(E_F): 20.5 states/eV per cell
formation energy (no corrections): -1.370 eV/f.u.

=====

Entry 13:
A plane-wave DFT calculation with PBE-GGA was carried out for a relaxed structure of SrGaCuF6.

a b c (Å): 5.4413 9.7501 5.0962
angles (deg): 90.00 92.56 90.00
Closest atoms and distances in Å follow each position.
Space group C2 (No. 5)
Asymmetric unit:
Sr 0.0000 0.0000 0.0000 x2  6 F 2.45-2.51
Ga 0.0000 0.6718 0.5000 x2  6 F 1.90-1.98
Cu 0.0000 0.3354 0.5000 x2  2 F 2.02
F 0.1663 0.5367 0.3007 x4  1 Ga 1.91
F 0.1663 0.8201 0.3108 x4  1 Ga 1.98, 1 Cu 2.02
F 0.2339 0.1777 0.2449 x4  1 Ga 1.90

Results
magnetization: 0.12 Bohr magnetons per cell
formation energy (no corrections): -24.111 eV/f.u.

=====

Entry 14:
A plane-wave DFT calculation with PBE-GGA was carried out for a relaxed structure of Mg3TlCd4.

a b c (Å): 10.0821 6.4364 5.6921
angles (deg): 90.00 90.00 90.00
Closest atoms and distances in Å follow each position.
Space group Pmma (No. 51)
Asymmetric unit:
Mg 0.0000 0.0000 0.0000 x2  8 Cd 3.10-3.24, 2 Mg 3.18, 2 Tl 3.22
Mg 0.2500 0.0000 0.3399 x2  8 Cd 3.09-3.25, 4 Mg 3.18-3.22
Mg 0.2500 0.5000 0.3527 x2  8 Cd 3.14-3.39, 2 Mg 3.22, 2 Tl 3.22
Tl 0.0000 0.5000 0.0000 x2  8 Cd 3.17-3.30, 4 Mg 3.22
Cd 0.0000 0.2402 0.5000 x4  4 Cd 3.09-3.34, 6 Mg 3.09-3.24, 2 Tl 3.30
Cd 0.2500 0.2389 0.8364 x4  4 Cd 3.07-3.36, 6 Mg 3.10-3.39, 2 Tl 3.17

Results
energy of formation from the pure elements: -0.308 eV/f.u.
magnetization: 0.00 Bohr magnetons per cell
D(E_F): 4.9 states/eV per cell